# ZrPa2Zn

Crystalline ZrPa2Zn at its relaxed geometry (PBE, Alexandria via LeMat-Bulk).

Summary:
As for the energy of formation: 0.011 eV/atom. The crystal system is tetragonal. The total energy is -7.193 eV per atom. The value obtained for the energy above the most stable polymorph in this dataset is 0 meV per atom. For the mass density, the calculation gives 11.598 g/cm3.

Cell and atoms, written as POSCAR:
```
ZrPa2Zn
1.0
-4.089 2.628 -0.099
-2.265 -3.549 -0.701
-0.451 -0.544 4.210
Zn Pa Zr
1 2 1
direct
0.500 0.500 0.500
0.000 0.000 0.500
0.000 0.500 0.000
0.500 0.000 0.000
```